Entry 1:
ScSbS4: relaxed, PBE.

Output
E (eV/atom): -5.270
V (Å³/atom): 25.82
ΔE_f (raw) (eV per atom): -0.776
Space-group type: No. 10
Magnetization (μB per formula unit): 0.000

abc: 3.650 6.608 6.423
angles: 90.04 90.00 90.00
Sites, in units of the cell vectors:
Sc (0.500, 0.000, 0.500)
Sb (0.000, 0.000, 0.000)
S (0.000, 0.783, 0.678)
S (0.500, 0.225, 0.838)
S (0.500, 0.775, 0.162)
S (0.000, 0.217, 0.322)


Entry 2:
Sc4SbS2: relaxed, PBE.

Output
E (eV/atom): -6.796
V (Å³/atom): 20.52
ΔE_f (raw) (eV per atom): -1.410
Space-group type: No. 63
Magnetization (μB per formula unit): 0.000

abc: 3.824 6.358 12.391
angles: 90.00 90.00 107.50
Sites, in units of the cell vectors:
Sc (0.763, 0.526, 0.116)
Sc (0.763, 0.526, 0.384)
Sc (0.237, 0.474, 0.884)
Sc (0.237, 0.474, 0.616)
Sc (0.929, 0.859, 0.750)
Sc (0.071, 0.141, 0.250)
Sc (0.500, 0.000, 0.000)
Sc (0.500, 0.000, 0.500)
Sb (0.608, 0.216, 0.750)
Sb (0.392, 0.784, 0.250)
S (0.133, 0.266, 0.442)
S (0.867, 0.734, 0.942)
S (0.133, 0.266, 0.058)
S (0.867, 0.734, 0.558)


What did the first record say?
ScSbS4: relaxed, PBE.

Output
E (eV/atom): -5.270
V (Å³/atom): 25.82
ΔE_f (raw) (eV per atom): -0.776
Space-group type: No. 10
Magnetization (μB per formula unit): 0.000

abc: 3.650 6.608 6.423
angles: 90.04 90.00 90.00
Sites, in units of the cell vectors:
Sc (0.500, 0.000, 0.500)
Sb (0.000, 0.000, 0.000)
S (0.000, 0.783, 0.678)
S (0.500, 0.225, 0.838)
S (0.500, 0.775, 0.162)
S (0.000, 0.217, 0.322)


Please write out number 1 again, unchanged.
ScSbS4: relaxed, PBE.

Output
E (eV/atom): -5.270
V (Å³/atom): 25.82
ΔE_f (raw) (eV per atom): -0.776
Space-group type: No. 10
Magnetization (μB per formula unit): 0.000

abc: 3.650 6.608 6.423
angles: 90.04 90.00 90.00
Sites, in units of the cell vectors:
Sc (0.500, 0.000, 0.500)
Sb (0.000, 0.000, 0.000)
S (0.000, 0.783, 0.678)
S (0.500, 0.225, 0.838)
S (0.500, 0.775, 0.162)
S (0.000, 0.217, 0.322)